Entry 1:
VASP calculation (PBE) on an optimized crystal structure of Ag2WBr.

Lattice parameters (Å, degrees): 2.954 4.817 5.266 90.00 90.00 90.00
Sites, in units of the cell vectors:
Ag: 0.000 0.000 0.000
Ag: 0.500 0.500 0.000
W: 0.000 0.500 0.500
Br: 0.500 0.000 0.500

Results
* formation energy from raw total energies: 0.97 eV per atom
* DFT total energy: -16.4 eV per cell
* size of the total moment: 1.24 Bohr magnetons per cell

Entry 2:
VASP calculation (PBE) on an optimized crystal structure of YPuBi2.

Lattice parameters (Å, degrees): 8.005 8.005 8.005 32.66 32.66 32.66
Sites, in units of the cell vectors:
Y: 0.000 0.000 0.000
Pu: 0.171 0.171 0.171
Bi: 0.584 0.584 0.584
Bi: 0.753 0.753 0.753

Results
* DFT total energy: -30.6 eV per cell
* size of the total moment: 5.07 Bohr magnetons per cell
* ΔH_f (0 K): -0.514 eV per atom

Entry 3:
VASP calculation (PBE) on an optimized crystal structure of La9Ho4Hg11.

Lattice parameters (Å, degrees): 14.343 14.343 3.606 90.00 90.00 112.07
Sites, in units of the cell vectors:
La: 0.000 0.000 0.000
La: 0.136 0.645 0.000
La: 0.290 0.449 0.000
La: 0.355 0.864 0.000
La: 0.449 0.290 0.000
La: 0.551 0.710 0.000
La: 0.645 0.136 0.000
La: 0.710 0.551 0.000
La: 0.864 0.355 0.000
Ho: 0.052 0.247 0.000
Ho: 0.247 0.052 0.000
Ho: 0.753 0.948 0.000
Ho: 0.948 0.753 0.000
Hg: 0.082 0.437 0.500
Hg: 0.137 0.863 0.500
Hg: 0.214 0.214 0.500
Hg: 0.340 0.660 0.500
Hg: 0.437 0.082 0.500
Hg: 0.500 0.500 0.500
Hg: 0.563 0.918 0.500
Hg: 0.660 0.340 0.500
Hg: 0.786 0.786 0.500
Hg: 0.863 0.137 0.500
Hg: 0.918 0.563 0.500

Results
* DFT total energy: -75.8 eV per cell
* size of the total moment: 2.78 Bohr magnetons per cell
* ΔH_f (0 K): -0.411 eV per atom

Entry 4:
VASP calculation (PBE) on an optimized crystal structure of PaCoBi.

Lattice parameters (Å, degrees): 6.360 6.360 6.360 149.50 149.50 43.68
Sites, in units of the cell vectors:
Pa: 0.000 0.000 0.000
Co: 0.609 0.609 0.000
Bi: 0.278 0.278 0.000

Results
* DFT total energy: -20.8 eV per cell
* size of the total moment: 0.00 Bohr magnetons per cell
* ΔH_f (0 K): -0.120 eV per atom

Entry 5:
VASP calculation (PBE) on an optimized crystal structure of CsKSnPt.

Lattice parameters (Å, degrees): 4.620 4.620 9.983 90.05 90.05 59.93
Sites, in units of the cell vectors:
Cs: 0.000 0.000 0.000
K: 0.001 0.001 0.508
Sn: 0.333 0.333 0.273
Pt: 0.667 0.667 0.271

Results
* DFT total energy: -13.0 eV per cell
* size of the total moment: 0.17 Bohr magnetons per cell
* ΔH_f (0 K): -0.261 eV per atom

Entry 6:
VASP calculation (PBE) on an optimized crystal structure of KRuPb2.

Lattice parameters (Å, degrees): 4.580 4.580 7.145 108.63 108.63 59.96
Sites, in units of the cell vectors:
K: 0.000 0.000 0.000
Ru: 0.500 0.500 0.500
Pb: 0.214 0.214 0.642
Pb: 0.786 0.786 0.358

Results
* DFT total energy: -16.8 eV per cell
* size of the total moment: 0.00 Bohr magnetons per cell
* ΔH_f (0 K): 0.242 eV per atom

Entry 7:
VASP calculation (PBE) on an optimized crystal structure of KTl3Hg5.

Lattice parameters (Å, degrees): 9.436 9.436 6.943 90.00 90.00 120.00
Sites, in units of the cell vectors:
K: 0.000 0.000 0.000
K: 0.000 0.000 0.500
Tl: 0.000 0.355 0.250
Tl: 0.000 0.645 0.750
Tl: 0.355 0.000 0.250
Tl: 0.355 0.355 0.750
Tl: 0.645 0.000 0.750
Tl: 0.645 0.645 0.250
Hg: 0.000 0.323 0.750
Hg: 0.000 0.677 0.250
Hg: 0.323 0.000 0.750
Hg: 0.323 0.323 0.250
Hg: 0.333 0.667 0.000
Hg: 0.333 0.667 0.500
Hg: 0.667 0.333 0.000
Hg: 0.667 0.333 0.500
Hg: 0.677 0.000 0.250
Hg: 0.677 0.677 0.750

Results
* DFT total energy: -20.4 eV per cell
* size of the total moment: 0.00 Bohr magnetons per cell
* ΔH_f (0 K): -0.056 eV per atom

Entry 8:
VASP calculation (PBE) on an optimized crystal structure of CePmRh.

Lattice parameters (Å, degrees): 6.040 6.040 6.040 145.19 145.19 50.05
Sites, in units of the cell vectors:
Ce: 0.000 0.000 0.000
Pm: 0.298 0.298 0.000
Rh: 0.621 0.621 0.000

Results
* DFT total energy: -19.3 eV per cell
* size of the total moment: 0.00 Bohr magnetons per cell
* ΔH_f (0 K): -0.428 eV per atom

Entry 9:
VASP calculation (PBE) on an optimized crystal structure of Th2PBr2.

Lattice parameters (Å, degrees): 11.173 11.173 11.173 21.16 21.16 21.16
Sites, in units of the cell vectors:
Th: 0.119 0.119 0.119
Th: 0.881 0.881 0.881
P: 0.500 0.500 0.500
Br: 0.275 0.275 0.275
Br: 0.725 0.725 0.725

Results
* formation energy from raw total energies: -1.58 eV per atom
* DFT total energy: -31.5 eV per cell
* size of the total moment: 0.00 Bohr magnetons per cell

Entry 10:
VASP calculation (PBE) on an optimized crystal structure of PmHo2ErSe4.

Lattice parameters (Å, degrees): 7.064 4.028 7.166 90.00 108.74 90.00
Sites, in units of the cell vectors:
Pm: 0.000 0.000 0.000
Ho: 0.500 0.000 0.500
Ho: 0.500 0.500 0.000
Er: 0.000 0.500 0.500
Se: 0.253 0.000 0.744
Se: 0.258 0.500 0.259
Se: 0.742 0.500 0.741
Se: 0.747 0.000 0.256

Results
* formation energy from raw total energies: -1.74 eV per atom
* DFT total energy: -46.3 eV per cell
* size of the total moment: 0.00 Bohr magnetons per cell

Entry 11:
VASP calculation (PBE) on an optimized crystal structure of Co4BiRu2.

Lattice parameters (Å, degrees): 6.963 6.963 6.963 140.79 140.79 56.66
Sites, in units of the cell vectors:
Co: 0.000 0.500 0.500
Co: 0.212 0.212 0.000
Co: 0.500 0.000 0.500
Co: 0.788 0.788 0.000
Bi: 0.000 0.000 0.000
Ru: 0.398 0.398 0.000
Ru: 0.602 0.602 0.000

Results
* DFT total energy: -39.7 eV per cell
* size of the total moment: 8.33 Bohr magnetons per cell
* ΔH_f (0 K): 1.590 eV per atom

Entry 12:
VASP calculation (PBE) on an optimized crystal structure of Pr8Ga3PdBr4.

Lattice parameters (Å, degrees): 8.685 8.685 8.834 119.50 119.50 59.93
Sites, in units of the cell vectors:
Pr: 0.239 0.239 0.722
Pr: 0.239 0.743 0.722
Pr: 0.256 0.256 0.267
Pr: 0.257 0.761 0.278
Pr: 0.743 0.239 0.722
Pr: 0.744 0.744 0.733
Pr: 0.761 0.257 0.278
Pr: 0.761 0.761 0.278
Ga: 0.000 0.500 0.500
Ga: 0.500 0.000 0.500
Ga: 0.500 0.500 0.500
Pd: 0.000 0.000 0.500
Br: 0.000 0.000 0.000
Br: 0.000 0.500 0.000
Br: 0.500 0.000 0.000
Br: 0.500 0.500 0.000

Results
* formation energy from raw total energies: -0.91 eV per atom
* DFT total energy: -73.7 eV per cell
* size of the total moment: 0.00 Bohr magnetons per cell